Entry 1:
# ErMnCu2 PBE optimized geometry
data_ErMnCu2
_space_group_name_H-M_alt 'P 1'
_space_group_IT_number 1
_cell_length_a 4.284
_cell_length_b 4.284
_cell_length_c 13.207
_cell_angle_alpha 90.00
_cell_angle_beta 90.00
_cell_angle_gamma 120.00
loop_
_space_group_symop_operation_xyz
'x,y,z'
loop_
_atom_site_label
_atom_site_type_symbol
_atom_site_fract_x
_atom_site_fract_y
_atom_site_fract_z
Er1 Er 0.000 0.000 0.000
Er2 Er 0.333 0.667 0.667
Er3 Er 0.667 0.333 0.333
Mn1 Mn 0.000 0.000 0.500
Mn2 Mn 0.333 0.667 0.167
Mn3 Mn 0.667 0.333 0.833
Cu1 Cu 0.000 0.000 0.209
Cu2 Cu 0.000 0.000 0.791
Cu3 Cu 0.333 0.667 0.458
Cu4 Cu 0.333 0.667 0.876
Cu5 Cu 0.667 0.333 0.124
Cu6 Cu 0.667 0.333 0.542
# ΔH_f (0 K) (eV/f.u.): -0.2
# Electronic total energy (eV/atom): -5.5328

***

Entry 2:
# NiTeRh2 PBE optimized geometry
data_NiTeRh2
_space_group_name_H-M_alt 'P 1'
_space_group_IT_number 1
_cell_length_a 5.446
_cell_length_b 9.115
_cell_length_c 3.026
_cell_angle_alpha 90.00
_cell_angle_beta 122.93
_cell_angle_gamma 90.00
loop_
_space_group_symop_operation_xyz
'x,y,z'
loop_
_atom_site_label
_atom_site_type_symbol
_atom_site_fract_x
_atom_site_fract_y
_atom_site_fract_z
Ni1 Ni 0.000 0.000 0.000
Ni2 Ni 0.500 0.500 0.000
Te1 Te 0.000 0.500 0.000
Te2 Te 0.500 0.000 0.000
Rh1 Rh 0.250 0.250 0.500
Rh2 Rh 0.250 0.750 0.500
Rh3 Rh 0.750 0.250 0.500
Rh4 Rh 0.750 0.750 0.500
# Formation energy from raw total energies (eV per formula unit): 0.75
# Electronic total energy (eV/atom): -5.7199

***

Entry 3:
# Re2SbIr PBE optimized geometry
data_Re2SbIr
_space_group_name_H-M_alt 'P 1'
_space_group_IT_number 1
_cell_length_a 2.957
_cell_length_b 3.917
_cell_length_c 5.719
_cell_angle_alpha 90.00
_cell_angle_beta 92.79
_cell_angle_gamma 90.00
loop_
_space_group_symop_operation_xyz
'x,y,z'
loop_
_atom_site_label
_atom_site_type_symbol
_atom_site_fract_x
_atom_site_fract_y
_atom_site_fract_z
Re1 Re 0.000 0.000 0.000
Re2 Re 0.453 0.500 0.187
Sb1 Sb 0.950 0.000 0.490
Ir1 Ir 0.434 0.500 0.719
# Formation energy from raw total energies (eV per formula unit): 1.52
# Electronic total energy (eV/atom): -9.0900

***

Entry 4:
# Ti2B2Cl PBE optimized geometry
data_Ti2B2Cl
_space_group_name_H-M_alt 'P 1'
_space_group_IT_number 1
_cell_length_a 6.343
_cell_length_b 6.343
_cell_length_c 3.007
_cell_angle_alpha 90.00
_cell_angle_beta 90.00
_cell_angle_gamma 90.00
loop_
_space_group_symop_operation_xyz
'x,y,z'
loop_
_atom_site_label
_atom_site_type_symbol
_atom_site_fract_x
_atom_site_fract_y
_atom_site_fract_z
Ti1 Ti 0.194 0.306 0.000
Ti2 Ti 0.306 0.806 0.000
Ti3 Ti 0.694 0.194 0.000
Ti4 Ti 0.806 0.694 0.000
B1 B 0.090 0.590 0.500
B2 B 0.410 0.090 0.500
B3 B 0.590 0.910 0.500
B4 B 0.910 0.410 0.500
Cl1 Cl 0.000 0.000 0.500
Cl2 Cl 0.500 0.500 0.500
# Formation energy from raw total energies (eV per formula unit): -0.27
# Energy above the lowest structure with this stoichiometry (meV per atom): 0
# Electronic total energy (eV/atom): -6.2519

***

Entry 5:
# HgRu2Pt PBE optimized geometry
data_HgRu2Pt
_space_group_name_H-M_alt 'P 1'
_space_group_IT_number 1
_cell_length_a 9.278
_cell_length_b 2.815
_cell_length_c 4.966
_cell_angle_alpha 90.00
_cell_angle_beta 99.74
_cell_angle_gamma 90.00
loop_
_space_group_symop_operation_xyz
'x,y,z'
loop_
_atom_site_label
_atom_site_type_symbol
_atom_site_fract_x
_atom_site_fract_y
_atom_site_fract_z
Hg1 Hg 0.000 0.000 0.000
Hg2 Hg 0.500 0.500 0.000
Ru1 Ru 0.258 0.500 0.291
Ru2 Ru 0.493 0.000 0.486
Ru3 Ru 0.758 0.000 0.291
Ru4 Ru 0.993 0.500 0.486
Pt1 Pt 0.242 0.000 0.750
Pt2 Pt 0.742 0.500 0.750
# ΔH_f (0 K) (eV/f.u.): 1.3
# Electronic total energy (eV/atom): -5.8972

***

Entry 6:
# Sn2Bi2Te PBE optimized geometry
data_Sn2Bi2Te
_space_group_name_H-M_alt 'P 1'
_space_group_IT_number 1
_cell_length_a 4.516
_cell_length_b 4.516
_cell_length_c 16.143
_cell_angle_alpha 90.00
_cell_angle_beta 90.00
_cell_angle_gamma 90.00
loop_
_space_group_symop_operation_xyz
'x,y,z'
loop_
_atom_site_label
_atom_site_type_symbol
_atom_site_fract_x
_atom_site_fract_y
_atom_site_fract_z
Sn1 Sn 0.000 0.000 0.095
Sn2 Sn 0.000 0.000 0.905
Sn3 Sn 0.500 0.500 0.405
Sn4 Sn 0.500 0.500 0.595
Bi1 Bi 0.000 0.500 0.250
Bi2 Bi 0.000 0.500 0.750
Bi3 Bi 0.500 0.000 0.250
Bi4 Bi 0.500 0.000 0.750
Te1 Te 0.000 0.000 0.500
Te2 Te 0.500 0.500 0.000
# Formation energy from raw total energies (eV per formula unit): 0.40
# Energy above the lowest structure with this stoichiometry (meV per atom): 4
# Electronic total energy (eV/atom): -3.7009

***

Entry 7:
# LiTmZn11 PBE optimized geometry
data_LiTmZn11
_space_group_name_H-M_alt 'P 1'
_space_group_IT_number 1
_cell_length_a 6.739
_cell_length_b 6.739
_cell_length_c 6.755
_cell_angle_alpha 98.50
_cell_angle_beta 98.50
_cell_angle_gamma 134.44
loop_
_space_group_symop_operation_xyz
'x,y,z'
loop_
_atom_site_label
_atom_site_type_symbol
_atom_site_fract_x
_atom_site_fract_y
_atom_site_fract_z
Li1 Li 0.000 0.000 0.000
Tm1 Tm 0.500 0.500 0.500
Zn1 Zn 0.000 0.500 0.500
Zn2 Zn 0.003 0.788 0.282
Zn3 Zn 0.143 0.492 0.147
Zn4 Zn 0.212 0.997 0.718
Zn5 Zn 0.492 0.143 0.147
Zn6 Zn 0.500 0.000 0.500
Zn7 Zn 0.500 0.500 0.000
Zn8 Zn 0.508 0.857 0.853
Zn9 Zn 0.788 0.003 0.282
Zn10 Zn 0.857 0.508 0.853
Zn11 Zn 0.997 0.212 0.718
# ΔH_f (0 K) (eV/f.u.): -2.3
# Electronic total energy (eV/atom): -1.7495

***

Entry 8:
# LiSmPd PBE optimized geometry
data_LiSmPd
_space_group_name_H-M_alt 'P 1'
_space_group_IT_number 1
_cell_length_a 6.295
_cell_length_b 6.295
_cell_length_c 5.654
_cell_angle_alpha 90.00
_cell_angle_beta 90.00
_cell_angle_gamma 120.00
loop_
_space_group_symop_operation_xyz
'x,y,z'
loop_
_atom_site_label
_atom_site_type_symbol
_atom_site_fract_x
_atom_site_fract_y
_atom_site_fract_z
Li1 Li 0.166 0.670 0.000
Li2 Li 0.330 0.497 0.667
Li3 Li 0.503 0.834 0.333
Sm1 Sm 0.313 0.222 0.172
Sm2 Sm 0.778 0.092 0.839
Sm3 Sm 0.908 0.687 0.505
Pd1 Pd 0.384 0.119 0.658
Pd2 Pd 0.735 0.616 0.991
Pd3 Pd 0.881 0.265 0.324
# Energy above the lowest structure with this stoichiometry (meV per atom): 156
# ΔH_f (0 K) (eV/f.u.): -1.2
# Electronic total energy (eV/atom): -4.3539

***

Entry 9:
# TiCu3Si PBE optimized geometry
data_TiCu3Si
_space_group_name_H-M_alt 'P 1'
_space_group_IT_number 1
_cell_length_a 4.615
_cell_length_b 4.615
_cell_length_c 4.615
_cell_angle_alpha 90.00
_cell_angle_beta 90.00
_cell_angle_gamma 90.00
loop_
_space_group_symop_operation_xyz
'x,y,z'
loop_
_atom_site_label
_atom_site_type_symbol
_atom_site_fract_x
_atom_site_fract_y
_atom_site_fract_z
Ti1 Ti 0.000 0.000 0.000
Cu1 Cu 0.000 0.000 0.500
Cu2 Cu 0.000 0.500 0.000
Cu3 Cu 0.500 0.000 0.000
Si1 Si 0.500 0.500 0.500
# Formation energy from raw total energies (eV per formula unit): 6.90
# Energy above the lowest structure with this stoichiometry (meV per atom): 948
# Electronic total energy (eV/atom): -3.7407

***

Entry 10:
# Cs7Au2BrO2 PBE optimized geometry
data_Cs7Au2BrO2
_space_group_name_H-M_alt 'P 1'
_space_group_IT_number 1
_cell_length_a 14.407
_cell_length_b 14.407
_cell_length_c 5.160
_cell_angle_alpha 100.28
_cell_angle_beta 100.28
_cell_angle_gamma 31.19
loop_
_space_group_symop_operation_xyz
'x,y,z'
loop_
_atom_site_label
_atom_site_type_symbol
_atom_site_fract_x
_atom_site_fract_y
_atom_site_fract_z
Cs1 Cs 0.000 0.000 0.000
Cs2 Cs 0.063 0.169 0.616
Cs3 Cs 0.382 0.451 0.917
Cs4 Cs 0.386 0.026 0.205
Cs5 Cs 0.549 0.618 0.083
Cs6 Cs 0.831 0.937 0.384
Cs7 Cs 0.974 0.614 0.795
Au1 Au 0.478 0.121 0.798
Au2 Au 0.879 0.522 0.202
Br1 Br 0.656 0.344 0.500
O1 O 0.030 0.767 0.899
O2 O 0.233 0.970 0.101
# Formation energy from raw total energies (eV per formula unit): -10.49
# Electronic total energy (eV/atom): -2.8837

***

Entry 11:
# AcNdCo4 PBE optimized geometry
data_AcNdCo4
_space_group_name_H-M_alt 'P 1'
_space_group_IT_number 1
_cell_length_a 5.252
_cell_length_b 5.252
_cell_length_c 5.252
_cell_angle_alpha 60.00
_cell_angle_beta 60.00
_cell_angle_gamma 60.00
loop_
_space_group_symop_operation_xyz
'x,y,z'
loop_
_atom_site_label
_atom_site_type_symbol
_atom_site_fract_x
_atom_site_fract_y
_atom_site_fract_z
Ac1 Ac 0.000 0.000 0.000
Nd1 Nd 0.750 0.750 0.750
Co1 Co 0.376 0.376 0.376
Co2 Co 0.376 0.376 0.873
Co3 Co 0.376 0.873 0.376
Co4 Co 0.873 0.376 0.376
# Energy above the lowest structure with this stoichiometry (meV per atom): 101
# ΔH_f (0 K) (eV/f.u.): 0.5
# Electronic total energy (eV/atom): -6.1373

***

Entry 12:
# Y2P2Os PBE optimized geometry
data_Y2P2Os
_space_group_name_H-M_alt 'P 1'
_space_group_IT_number 1
_cell_length_a 6.331
_cell_length_b 6.331
_cell_length_c 4.450
_cell_angle_alpha 90.00
_cell_angle_beta 90.00
_cell_angle_gamma 90.00
loop_
_space_group_symop_operation_xyz
'x,y,z'
loop_
_atom_site_label
_atom_site_type_symbol
_atom_site_fract_x
_atom_site_fract_y
_atom_site_fract_z
Y1 Y 0.177 0.323 0.000
Y2 Y 0.323 0.823 0.000
Y3 Y 0.677 0.177 0.000
Y4 Y 0.823 0.677 0.000
P1 P 0.136 0.636 0.500
P2 P 0.364 0.136 0.500
P3 P 0.636 0.864 0.500
P4 P 0.864 0.364 0.500
Os1 Os 0.000 0.000 0.500
Os2 Os 0.500 0.500 0.500
# ΔH_f (0 K) (eV/f.u.): -4.8
# Electronic total energy (eV/atom): -7.9554

***

- Number 9 is which compound?
  TiCu3Si

***

- What is the electronic total energy in the first record?
  -5.5328 eV/atom

***

What did the tenth record say?
# Cs7Au2BrO2 PBE optimized geometry
data_Cs7Au2BrO2
_space_group_name_H-M_alt 'P 1'
_space_group_IT_number 1
_cell_length_a 14.407
_cell_length_b 14.407
_cell_length_c 5.160
_cell_angle_alpha 100.28
_cell_angle_beta 100.28
_cell_angle_gamma 31.19
loop_
_space_group_symop_operation_xyz
'x,y,z'
loop_
_atom_site_label
_atom_site_type_symbol
_atom_site_fract_x
_atom_site_fract_y
_atom_site_fract_z
Cs1 Cs 0.000 0.000 0.000
Cs2 Cs 0.063 0.169 0.616
Cs3 Cs 0.382 0.451 0.917
Cs4 Cs 0.386 0.026 0.205
Cs5 Cs 0.549 0.618 0.083
Cs6 Cs 0.831 0.937 0.384
Cs7 Cs 0.974 0.614 0.795
Au1 Au 0.478 0.121 0.798
Au2 Au 0.879 0.522 0.202
Br1 Br 0.656 0.344 0.500
O1 O 0.030 0.767 0.899
O2 O 0.233 0.970 0.101
# Formation energy from raw total energies (eV per formula unit): -10.49
# Electronic total energy (eV/atom): -2.8837